Density functional theory data (meta-GGA SCAN) for a crystal of TaAsSe relaxed with PBEsol.

a b c (Å): 3.385 3.385 5.061
angles (deg): 109.54 109.54 90.00
Fractional coordinates of all 3 atoms:
As (0.012, 0.012, 0.024)
Se (0.321, 0.321, 0.643)
Ta (0.666, 0.666, 0.333)

Uncorrected energy in eV/atom: -35.778
Space-group type: I4mm, No. 107
Formation energy without anion corrections in eV per formula unit: -0.481
Density in g/cm³: 10.88

***

Density functional theory data (meta-GGA SCAN) for a crystal of GeCS2 relaxed with PBEsol.

a b c (Å): 5.690 5.731 5.690
angles (deg): 60.24 90.00 119.76
Fractional coordinates of all 8 atoms:
C (0.250, 0.500, 0.250)
C (0.500, 0.000, 0.500)
Ge (0.750, 0.500, 0.750)
Ge (0.000, 0.000, 0.000)
S (0.516, 0.750, 0.375)
S (0.234, 0.750, 0.875)
S (0.875, 0.250, 0.516)
S (0.375, 0.250, 0.234)

Uncorrected energy in eV/atom: -10.997
Space-group type: I-42d, No. 122
Formation energy without anion corrections in eV per formula unit: 4.454
Density in g/cm³: 3.74